Material: Ba2ZnInRh
Method: DFT, GGA-PBE
State: relaxed

a b c (Å): 6.000 6.000 5.200
angles (deg): 90.00 90.00 90.00
Element x y z (fractional)
Ba: 0.000 0.500 0.000
Ba: 0.500 0.000 0.000
Zn: 0.000 0.000 0.500
In: 0.500 0.500 0.500
Rh: 0.500 0.500 0.000

Summary:
Polymorph energy (0 for the lowest one) = 0.000 eV per atom
Energy of formation = -184.0 meV per atom
Raw total energy = -3.226 eV/atom

---

Material: Ac6Tb3Pm2
Method: DFT, GGA-PBE
State: relaxed

a b c (Å): 6.623 6.623 12.087
angles (deg): 95.08 95.08 119.88
Element x y z (fractional)
Ac: 0.085 0.418 0.749
Ac: 0.246 0.246 0.254
Ac: 0.418 0.085 0.749
Ac: 0.582 0.915 0.251
Ac: 0.754 0.754 0.746
Ac: 0.915 0.582 0.251
Tb: 0.166 0.834 0.000
Tb: 0.500 0.500 0.000
Tb: 0.834 0.166 0.000
Pm: 0.331 0.669 0.500
Pm: 0.669 0.331 0.500

Summary:
Energy of formation = 185.7 meV per atom
Raw total energy = -4.182 eV/atom

---

Results for density of states at the Fermi level: 3.24, 14.71 (in states/eV/cell, following the order of the records).